No. 1
A relaxed TaZn2In crystal. Source: Alexandria via LeMat-Bulk, functional PBE.

a b c (Å): 2.912 2.912 8.397
angles (deg): 90.00 90.00 90.00
Positions (direct):
Ta  0.000  0.000  0.000
Zn  0.000  0.000  0.453
Zn  0.500  0.500  0.235
In  0.500  0.500  0.728

Values from the calculation:
The value obtained for the formation enthalpy at 0 K is 0.1805 eV/atom.

***

No. 2
A relaxed Y5Cu2Bi crystal. Source: Alexandria via LeMat-Bulk, functional PBE.

a b c (Å): 8.647 8.647 8.647
angles (deg): 124.95 124.95 81.61
Positions (direct):
Y  0.000  0.000  0.000
Y  0.014  0.514  0.807
Y  0.207  0.014  0.500
Y  0.293  0.793  0.807
Y  0.486  0.293  0.500
Y  0.500  0.500  0.000
Y  0.514  0.707  0.500
Y  0.707  0.207  0.193
Y  0.793  0.986  0.500
Y  0.986  0.486  0.193
Cu  0.132  0.368  0.500
Cu  0.368  0.868  0.236
Cu  0.632  0.132  0.764
Cu  0.868  0.632  0.500
Bi  0.250  0.250  0.000
Bi  0.750  0.750  0.000

Values from the calculation:
The value obtained for the formation enthalpy at 0 K is -0.3698 eV/atom.

***

No. 3
A relaxed BeNb2TcH crystal. Source: Alexandria via LeMat-Bulk, functional PBE.

a b c (Å): 4.275 4.275 3.412
angles (deg): 90.00 90.00 90.00
Positions (direct):
Be  0.000  0.000  0.000
Nb  0.000  0.500  0.500
Nb  0.500  0.000  0.500
Tc  0.500  0.500  0.000
H  0.000  0.000  0.500

Values from the calculation:
The value obtained for the final energy is -37.897 eV for the cell shown.

***

No. 4
A relaxed ErScInCu crystal. Source: Alexandria via LeMat-Bulk, functional PBE.

a b c (Å): 4.990 4.990 4.990
angles (deg): 60.00 60.00 60.00
Positions (direct):
Er  0.000  0.000  0.000
Sc  0.500  0.500  0.500
In  0.750  0.750  0.750
Cu  0.250  0.250  0.250

Values from the calculation:
The value obtained for the formation enthalpy at 0 K is -0.3092 eV/atom.

***

No. 5
A relaxed MgZn4 crystal. Source: Alexandria via LeMat-Bulk, functional PBE.

a b c (Å): 5.114 5.114 5.114
angles (deg): 90.00 90.00 90.00
Positions (direct):
Mg  0.000  0.000  0.000
Zn  0.000  0.000  0.500
Zn  0.000  0.500  0.000
Zn  0.500  0.000  0.000
Zn  0.500  0.500  0.500

Values from the calculation:
The energy above the most stable polymorph in this dataset is 658 meV per atom. The value obtained for the formation enthalpy at 0 K is 0.6245 eV/atom.

***

No. 6
A relaxed K3Dy3PuTe8 crystal. Source: Alexandria via LeMat-Bulk, functional PBE.

a b c (Å): 9.826 9.826 9.826
angles (deg): 53.88 53.88 53.88
Positions (direct):
K  0.000  0.500  0.500
K  0.500  0.000  0.500
K  0.500  0.500  0.000
Dy  0.000  0.000  0.500
Dy  0.000  0.500  0.000
Dy  0.500  0.000  0.000
Pu  0.500  0.500  0.500
Te  0.235  0.735  0.735
Te  0.236  0.236  0.236
Te  0.265  0.265  0.765
Te  0.265  0.765  0.265
Te  0.735  0.235  0.735
Te  0.735  0.735  0.235
Te  0.764  0.764  0.764
Te  0.765  0.265  0.265

Values from the calculation:
The value obtained for the uncorrected formation energy is -1.26 eV per atom.

***

No. 7
A relaxed CoReAs2Br crystal. Source: Alexandria via LeMat-Bulk, functional PBE.

a b c (Å): 4.721 4.721 5.518
angles (deg): 90.00 90.00 90.00
Positions (direct):
Co  0.000  0.000  0.000
Re  0.500  0.500  0.500
As  0.000  0.500  0.500
As  0.500  0.000  0.500
Br  0.500  0.500  0.000

Values from the calculation:
The energy above the most stable polymorph in this dataset is 0 meV per atom. The value obtained for the uncorrected formation energy is 1.04 eV per atom.

***

No. 8
A relaxed Li2InPtO4 crystal. Source: Alexandria via LeMat-Bulk, functional PBE.

a b c (Å): 5.456 3.145 5.616
angles (deg): 90.00 112.61 90.00
Positions (direct):
Li  0.000  0.000  0.000
Li  0.000  0.500  0.500
In  0.500  0.000  0.500
Pt  0.500  0.500  0.000
O  0.235  0.500  0.274
O  0.282  0.000  0.774
O  0.718  0.000  0.226
O  0.765  0.500  0.726

Values from the calculation:
The value obtained for the uncorrected formation energy is -1.26 eV per atom.

***

No. 9
A relaxed CuSbW2 crystal. Source: Alexandria via LeMat-Bulk, functional PBE.

a b c (Å): 2.877 4.483 5.285
angles (deg): 90.00 98.50 90.00
Positions (direct):
Cu  0.000  0.000  0.000
Sb  0.500  0.000  0.500
W  0.278  0.500  0.770
W  0.722  0.500  0.230

Values from the calculation:
The value obtained for the uncorrected formation energy is 0.62 eV per atom.

***

No. 10
A relaxed LiCePmZn crystal. Source: Alexandria via LeMat-Bulk, functional PBE.

a b c (Å): 5.203 5.203 5.203
angles (deg): 60.00 60.00 60.00
Positions (direct):
Li  0.000  0.000  0.000
Ce  0.250  0.250  0.250
Pm  0.750  0.750  0.750
Zn  0.500  0.500  0.500

Values from the calculation:
The value obtained for the formation enthalpy at 0 K is -0.0134 eV/atom.

***

No. 11
A relaxed Tl8HgTe5 crystal. Source: Alexandria via LeMat-Bulk, functional PBE.

a b c (Å): 8.515 8.515 8.515
angles (deg): 108.87 108.87 110.67
Positions (direct):
Tl  0.128  0.237  0.758
Tl  0.128  0.719  0.751
Tl  0.281  0.032  0.408
Tl  0.478  0.370  0.242
Tl  0.624  0.872  0.592
Tl  0.630  0.872  0.109
Tl  0.763  0.522  0.891
Tl  0.968  0.376  0.249
Hg  0.000  0.000  0.000
Te  0.265  0.637  0.140
Te  0.363  0.504  0.628
Te  0.496  0.124  0.860
Te  0.750  0.250  0.500
Te  0.876  0.735  0.372

Values from the calculation:
The value obtained for the uncorrected formation energy is -0.23 eV per atom.

***

No. 12
A relaxed Pu2Ga4Ir3 crystal. Source: Alexandria via LeMat-Bulk, functional PBE.

a b c (Å): 7.904 6.865 5.531
angles (deg): 78.41 58.31 43.28
Positions (direct):
Pu  0.119  0.119  0.881
Pu  0.881  0.881  0.119
Ga  0.169  0.504  0.496
Ga  0.496  0.831  0.169
Ga  0.504  0.169  0.831
Ga  0.831  0.496  0.504
Ir  0.000  0.000  0.500
Ir  0.500  0.500  0.000
Ir  0.500  0.500  0.500

Values from the calculation:
The value obtained for the formation enthalpy at 0 K is -0.4781 eV/atom.